No. 1
Density functional theory data (PBEsol) for crystalline CoCu3HgSe4 at its relaxed geometry.

Cell: 5.725 5.725 5.725 Å, 90.00 90.00 90.00°
Element x y z (fractional)
Co1 0.000 0.000 0.000
Cu1 0.000 0.000 0.500
Cu2 0.000 0.500 0.000
Cu3 0.500 0.000 0.000
Hg1 0.500 0.500 0.500
Se1 0.228 0.228 0.228
Se2 0.228 0.772 0.772
Se3 0.772 0.228 0.772
Se4 0.772 0.772 0.228

Calculated values
- E_tot (eV for the cell shown) = -37.28
- formation energy from raw total energies (meV per atom) = -64
- total magnetic moment (μB/f.u.) = 0.228


No. 2
Density functional theory data (PBEsol) for crystalline HoCo4Cu at its relaxed geometry.

Cell: 4.815 4.815 3.919 Å, 90.00 90.00 120.00°
Element x y z (fractional)
Ho1 0.000 0.000 0.000
Co1 0.002 0.501 0.500
Co2 0.333 0.667 0.000
Co3 0.499 0.501 0.500
Co4 0.499 0.998 0.500
Cu1 0.667 0.333 0.000

Calculated values
- E_tot (eV for the cell shown) = -40.89
- energy relative to the elements (eV/atom) = -0.109
- total magnetic moment (μB/f.u.) = 5.008


No. 3
Density functional theory data (PBEsol) for crystalline CoCu3I at its relaxed geometry.

Cell: 4.777 4.777 4.777 Å, 90.00 90.00 90.00°
Element x y z (fractional)
Co1 0.000 0.000 0.000
Cu1 0.000 0.500 0.500
Cu2 0.500 0.000 0.500
Cu3 0.500 0.500 0.000
I1 0.500 0.500 0.500

Calculated values
- E_tot (eV for the cell shown) = -13.79
- formation energy from raw total energies (meV per atom) = 1742
- total magnetic moment (μB/f.u.) = 1.738


No. 4
Density functional theory data (PBEsol) for crystalline CoCuI2N at its relaxed geometry.

Cell: 5.366 5.366 3.579 Å, 90.00 90.00 90.00°
Element x y z (fractional)
Co1 0.000 0.000 0.000
Cu1 0.500 0.500 0.500
I1 0.000 0.500 0.500
I2 0.500 0.000 0.500
N1 0.500 0.500 0.000

Calculated values
- E_tot (eV for the cell shown) = -18.45
- formation energy from raw total energies (meV per atom) = 1137
- total magnetic moment (μB/f.u.) = 4.157